(1)
Here is a relaxed structure of BeTlRh4 from Alexandria. Energies are from PBE.

Unit cell a=5.1575 b=5.1575 c=5.1575 alpha=60.00 beta=60.00 gamma=60.00
With the nearest neighbours (Å) after each atom.
Sites, in units of the cell vectors:
1 Be 0.0000 0.0000 0.0000  12 Rh 3.02, 4 Tl 3.16
2 Tl 0.2500 0.2500 0.2500  12 Rh 3.02, 4 Be 3.16
3 Rh 0.1238 0.6254 0.6254  6 Rh 2.57-2.59
4 Rh 0.6254 0.1238 0.6254  6 Rh 2.57-2.59
5 Rh 0.6254 0.6254 0.1238  6 Rh 2.57-2.59
6 Rh 0.6254 0.6254 0.6254  6 Rh 2.57-2.59

Results
formation energy	0.412	eV per atom


(2)
Here is a relaxed structure of Y2TmOsC2 from Alexandria. Energies are from PBE.

Unit cell a=5.5553 b=10.9831 c=3.6894 alpha=90.00 beta=90.00 gamma=90.00
With the nearest neighbours (Å) after each atom.
Sites, in units of the cell vectors:
1 Y 0.0520 0.2086 0.0000  3 C 2.45-2.46
2 Y 0.4480 0.7086 0.5000  3 C 2.45-2.46
3 Y 0.5520 0.2914 0.5000  3 C 2.45-2.46
4 Y 0.9480 0.7914 0.0000  3 C 2.45-2.46
5 Tm 0.0000 0.5000 0.5000  4 C 2.57
6 Tm 0.5000 0.0000 0.0000  4 C 2.57
7 Os 0.0000 0.0000 0.5000  2 C 2.00
8 Os 0.5000 0.5000 0.0000  2 C 2.00
9 C 0.2237 0.6164 0.0000  1 Os 2.00
10 C 0.2763 0.1164 0.5000  1 Os 2.00
11 C 0.7237 0.8836 0.5000  1 Os 2.00
12 C 0.7763 0.3836 0.0000  1 Os 2.00

Results
formation energy	-0.216	eV per atom


(3)
Here is a relaxed structure of Sr2TmAlTe5 from Alexandria. Energies are from PBE.

Unit cell a=10.2527 b=10.2527 c=13.8460 alpha=90.00 beta=90.00 gamma=155.36
With the nearest neighbours (Å) after each atom.
Sites, in units of the cell vectors:
1 Sr 0.1204 0.8796 0.5000  7 Te 3.33-3.64
2 Sr 0.1234 0.8766 0.1411  6 Te 3.36-3.43
3 Sr 0.8766 0.1234 0.6411  6 Te 3.36-3.43
4 Sr 0.8796 0.1204 0.0000  7 Te 3.33-3.64
5 Tm 0.2056 0.7944 0.8440  6 Te 2.99-3.19
6 Tm 0.7944 0.2056 0.3440  6 Te 2.99-3.19
7 Al 0.4368 0.5632 0.2486  4 Te 2.59-2.70
8 Al 0.5632 0.4368 0.7486  4 Te 2.59-2.70
9 Te 0.0468 0.9532 0.8601  2 Al 2.70
10 Te 0.2933 0.7067 0.4935  2 Tm 3.01
11 Te 0.3109 0.6891 0.1852  1 Al 2.67
12 Te 0.3541 0.6459 0.8226  1 Tm 2.99, 2 Sr 3.33
13 Te 0.4997 0.5003 0.0855  1 Al 2.59
14 Te 0.5003 0.4997 0.5855  1 Al 2.59
15 Te 0.6459 0.3541 0.3226  1 Tm 2.99, 2 Sr 3.33
16 Te 0.6891 0.3109 0.6852  1 Al 2.67
17 Te 0.7067 0.2933 0.9935  2 Tm 3.01
18 Te 0.9532 0.0468 0.3601  2 Al 2.70

Results
formation energy from raw total energies	-1.2774	eV/atom


Raw total energy values, unit eV per cell, following the record order: -33.03, -96.74, -77.57.